1.
# GGA-PBE SiSbIr2, relaxed
# space-group type	R3m, No. 160
# crystal system	trigonal
# energy relative to the elements, uncorrected	270	meV/atom
data_SiSbIr2
_chemical_formula_sum 'Si1 Sb1 Ir2'
_cell_length_a 8.989
_cell_length_b 8.989
_cell_length_c 8.989
_cell_angle_alpha 19.59
_cell_angle_beta 19.59
_cell_angle_gamma 19.59
_space_group_name_H-M_alt 'P 1'
_space_group_IT_number 1
loop_
_space_group_symop_operation_xyz
'x,y,z'
loop_
_atom_site_label
_atom_site_fract_x
_atom_site_fract_y
_atom_site_fract_z
Ir1 0.006 0.006 0.006
Ir2 0.252 0.252 0.252
Sb1 0.508 0.508 0.508
Si1 0.734 0.734 0.734

***

2.
# GGA-PBE SiSbIr2, relaxed
# space-group type	P4/mmm, No. 123
# crystal system	tetragonal
# energy relative to the elements, uncorrected	157	meV/atom
data_SiSbIr2
_chemical_formula_sum 'Si1 Sb1 Ir2'
_cell_length_a 4.226
_cell_length_b 4.229
_cell_length_c 3.581
_cell_angle_alpha 90.00
_cell_angle_beta 90.00
_cell_angle_gamma 90.00
_space_group_name_H-M_alt 'P 1'
_space_group_IT_number 1
loop_
_space_group_symop_operation_xyz
'x,y,z'
loop_
_atom_site_label
_atom_site_fract_x
_atom_site_fract_y
_atom_site_fract_z
Ir1 0.500 0.500 0.000
Ir2 0.000 0.000 0.000
Sb1 0.500 0.000 0.500
Si1 0.000 0.500 0.500

***

3.
# GGA-PBE Si4SbIr, relaxed
# space-group type	F-43m, No. 216
# crystal system	cubic
# energy relative to the elements, uncorrected	698	meV/atom
data_Si4SbIr
_chemical_formula_sum 'Si4 Sb1 Ir1'
_cell_length_a 5.196
_cell_length_b 5.196
_cell_length_c 5.196
_cell_angle_alpha 60.00
_cell_angle_beta 60.00
_cell_angle_gamma 60.00
_space_group_name_H-M_alt 'P 1'
_space_group_IT_number 1
loop_
_space_group_symop_operation_xyz
'x,y,z'
loop_
_atom_site_label
_atom_site_fract_x
_atom_site_fract_y
_atom_site_fract_z
Si1 0.375 0.875 0.375
Si2 0.375 0.375 0.375
Si3 0.375 0.375 0.875
Si4 0.875 0.375 0.375
Ir1 0.750 0.750 0.750
Sb1 0.000 0.000 0.000

***

The following uncorrected energy values (in eV per atom) correspond, in order, to the records above: -6.547, -6.660, -5.081.
The following N(E_F) values (in states/eV/atom) correspond, in order, to the records above: 0.783, 0.680, 1.049.
The following density values (in g/cm³) correspond, in order, to the records above: 12.42, 13.86, 7.14.